The following is a PBE with a Hubbard U calculation of a geometry-optimized CaPuCoO6 structure, from Alexandria.

The total energy is -7.811 eV/atom. The value obtained for the total magnetization is 0.110 μB/atom.

```
data_CaPuCoO6
_chemical_formula_sum 'Ca2 Pu2 Co2 O12'
_cell_length_a 5.1217
_cell_length_b 5.1217
_cell_length_c 10.4094
_cell_angle_alpha 90.00
_cell_angle_beta 90.00
_cell_angle_gamma 120.00
_symmetry_space_group_name_H-M 'P -3 1 c'
_symmetry_Int_Tables_number 163
_symmetry_space_group_name_Hall '-P 3 2c'
loop_
_atom_site_label
_atom_site_type_symbol
_atom_site_fract_x
_atom_site_fract_y
_atom_site_fract_z
Ca1 Ca 0.0000 0.0000 0.0000
Pu1 Pu 0.3333 0.6667 0.2500
Co1 Co 0.3333 0.6667 0.7500
O1 O 0.0133 0.3664 0.6448
```